1.
# Ba2ZnCd3Pb4

Ba2ZnCd3Pb4 after structural relaxation (PBE, Alexandria).

Unit cell a=5.053 b=5.053 c=12.369 alpha=90.00 beta=90.00 gamma=90.00
Element x y z (fractional)
1 Ba 0.500 0.000 0.265
2 Ba 0.000 0.500 0.735
3 Zn 0.500 0.500 0.500
4 Cd 0.000 0.000 0.500
5 Cd 0.500 0.000 0.859
6 Cd 0.000 0.500 0.141
7 Pb 0.500 0.500 0.000
8 Pb 0.000 0.000 0.000
9 Pb 0.500 0.000 0.624
10 Pb 0.000 0.500 0.376

Calculated values
The density of states at the Fermi level is 0.198 states/eV per atom. The symmetry is P-4m2 (115). Its formation energy from the elements is -299 meV/atom. As for the total energy: -25.685 eV for the cell shown.

***

2.
# BaCdPd2

BaCdPd2 after structural relaxation (PBE, Alexandria).

Unit cell a=5.144 b=5.144 c=9.882 alpha=74.91 beta=74.91 gamma=90.00
Element x y z (fractional)
1 Ba 0.000 0.000 0.000
2 Ba 0.750 0.250 0.500
3 Pd 0.431 0.125 0.250
4 Pd 0.319 0.625 0.250
5 Pd 0.375 0.569 0.750
6 Pd 0.875 0.681 0.750
7 Cd 0.500 0.500 0.000
8 Cd 0.250 0.750 0.500

Calculated values
The density of states at the Fermi level is 0.386 states/eV per atom. The symmetry is I-42d (122). Its formation energy from the elements is -286 meV/atom. As for the total energy: -28.733 eV for the cell shown.

***

3.
# Ba4CdPd

Ba4CdPd after structural relaxation (PBE, Alexandria).

Unit cell a=7.931 b=8.412 c=9.851 alpha=73.03 beta=66.28 gamma=90.01
Element x y z (fractional)
1 Ba 0.327 0.016 0.201
2 Ba 0.529 0.484 0.799
3 Ba 0.673 0.984 0.799
4 Ba 0.471 0.516 0.201
5 Ba 0.774 0.856 0.332
6 Ba 0.106 0.644 0.668
7 Ba 0.226 0.144 0.668
8 Ba 0.894 0.356 0.332
9 Cd 0.195 0.750 0.000
10 Cd 0.805 0.250 0.000
11 Pd 0.000 0.000 0.500
12 Pd 0.500 0.500 0.500

Calculated values
The density of states at the Fermi level is 0.968 states/eV per atom. The symmetry is C2/c (15). Its formation energy from the elements is -242 meV/atom. As for the total energy: -30.500 eV for the cell shown. The value obtained for the offset from the most stable computed form is 0.028 eV/atom.

***

4.
# Ba4Cd3Pd2

Ba4Cd3Pd2 after structural relaxation (PBE, Alexandria).

Unit cell a=4.519 b=8.170 c=9.246 alpha=109.76 beta=104.15 gamma=90.00
Element x y z (fractional)
1 Ba 0.228 0.687 0.456
2 Ba 0.772 0.313 0.544
3 Ba 0.570 0.863 0.141
4 Ba 0.430 0.137 0.859
5 Cd 0.098 0.237 0.196
6 Cd 0.902 0.763 0.804
7 Cd 0.000 0.500 0.000
8 Pd 0.401 0.543 0.802
9 Pd 0.599 0.457 0.198

Calculated values
The density of states at the Fermi level is 0.836 states/eV per atom. The symmetry is C2/m (12). Its formation energy from the elements is -384 meV/atom. As for the total energy: -24.274 eV for the cell shown.

***

5.
# Ba3Cd4Pd4

Ba3Cd4Pd4 after structural relaxation (PBE, Alexandria).

Unit cell a=4.609 b=8.120 c=9.015 alpha=116.77 beta=104.81 gamma=90.00
Element x y z (fractional)
1 Ba 0.123 0.123 0.247
2 Ba 0.877 0.877 0.753
3 Ba 0.000 0.500 0.000
4 Cd 0.327 0.135 0.653
5 Cd 0.673 0.482 0.347
6 Cd 0.673 0.865 0.347
7 Cd 0.327 0.518 0.653
8 Pd 0.219 0.719 0.438
9 Pd 0.781 0.281 0.562
10 Pd 0.500 0.820 0.000
11 Pd 0.500 0.180 0.000

Calculated values
The density of states at the Fermi level is 0.358 states/eV per atom. The symmetry is Immm (71). Its formation energy from the elements is -493 meV/atom. As for the total energy: -35.621 eV for the cell shown.

***

6.
# BaCd11Pd

BaCd11Pd after structural relaxation (PBE, Alexandria).

Unit cell a=5.686 b=7.837 c=7.817 alpha=82.82 beta=68.67 gamma=69.90
Element x y z (fractional)
1 Ba 0.000 0.000 0.000
2 Cd 0.290 0.225 0.214
3 Cd 0.710 0.775 0.786
4 Cd 0.496 0.775 0.214
5 Cd 0.504 0.225 0.786
6 Cd 0.362 0.637 0.656
7 Cd 0.638 0.363 0.344
8 Cd 0.982 0.363 0.656
9 Cd 0.018 0.637 0.344
10 Cd 0.000 0.500 0.000
11 Cd 0.500 0.000 0.500
12 Cd 0.000 0.000 0.500
13 Pd 0.500 0.500 0.000

Calculated values
The density of states at the Fermi level is 0.408 states/eV per atom. The symmetry is C2/m (12). Its formation energy from the elements is -192 meV/atom. As for the total energy: -19.676 eV for the cell shown.

***

7.
# Ba3CdPd2

Ba3CdPd2 after structural relaxation (PBE, Alexandria).

Unit cell a=8.771 b=9.909 c=10.330 alpha=90.00 beta=106.44 gamma=90.00
Element x y z (fractional)
1 Ba 0.341 0.965 0.094
2 Ba 0.159 0.465 0.406
3 Ba 0.659 0.035 0.906
4 Ba 0.841 0.535 0.594
5 Ba 0.342 0.535 0.094
6 Ba 0.158 0.035 0.406
7 Ba 0.658 0.465 0.906
8 Ba 0.842 0.965 0.594
9 Ba 0.912 0.750 0.144
10 Ba 0.588 0.250 0.356
11 Ba 0.088 0.250 0.856
12 Ba 0.412 0.750 0.644
13 Cd 0.620 0.750 0.318
14 Cd 0.880 0.250 0.182
15 Cd 0.380 0.250 0.682
16 Cd 0.120 0.750 0.818
17 Pd 0.750 0.000 0.250
18 Pd 0.750 0.500 0.250
19 Pd 0.250 0.000 0.750
20 Pd 0.250 0.500 0.750
21 Pd 0.294 0.750 0.312
22 Pd 0.206 0.250 0.188
23 Pd 0.706 0.250 0.688
24 Pd 0.794 0.750 0.812

Calculated values
The density of states at the Fermi level is 0.542 states/eV per atom. The symmetry is P2_1/m (11). Its formation energy from the elements is -414 meV/atom. As for the total energy: -78.217 eV for the cell shown.

***

8.
# Ba8CdPd2

Ba8CdPd2 after structural relaxation (PBE, Alexandria).

Unit cell a=6.894 b=9.026 c=9.026 alpha=111.40 beta=97.77 gamma=97.77
Element x y z (fractional)
1 Ba 0.581 0.335 0.067
2 Ba 0.581 0.067 0.335
3 Ba 0.201 0.382 0.382
4 Ba 0.985 0.236 0.762
5 Ba 0.985 0.762 0.236
6 Ba 0.785 0.635 0.635
7 Ba 0.392 0.937 0.664
8 Ba 0.392 0.664 0.937
9 Cd 0.112 0.011 0.011
10 Pd 0.493 0.690 0.315
11 Pd 0.493 0.315 0.690

Calculated values
The density of states at the Fermi level is 1.173 states/eV per atom. The symmetry is Cm (8). Its formation energy from the elements is -209 meV/atom. As for the total energy: -28.978 eV for the cell shown.

***

- What is the density of states at the Fermi level in the fourth record?
  0.836 states/eV per atom